# 1
A PBEsol-optimized structure of MnReIr2. Source: the Alexandria database, functional SCAN.

## Properties
E above lowest polymorph	0.116	eV/atom

Structure (POSCAR):
```
MnReIr2
1.0
4.4150 -1.3381 0.0000
4.4150 1.3381 0.0000
-0.8342 0.0000 4.5619
Mn Re Ir
1 1 2
direct
0.0000 0.0000 0.0000 Mn
0.2515 0.2515 0.7389 Re
0.5007 0.5007 0.4997 Ir
0.7459 0.7459 0.2248 Ir
```

# 2
A PBEsol-optimized structure of MnReIr2. Source: the Alexandria database, functional SCAN.

## Properties
E above lowest polymorph	0.063	eV/atom

Structure (POSCAR):
```
MnReIr2
1.0
3.7786 0.0000 0.0000
0.0000 3.7786 0.0000
0.0000 0.0000 3.7684
Mn Re Ir
1 1 2
direct
0.0000 0.0000 0.0000 Mn
0.5000 0.5000 0.0000 Re
0.0000 0.5000 0.5000 Ir
0.5000 0.0000 0.5000 Ir
```

# 3
A PBEsol-optimized structure of Mn2ReIr. Source: the Alexandria database, functional SCAN.

Structure (POSCAR):
```
Mn2ReIr
1.0
1.3191 0.7616 8.4224
-1.3191 0.7616 8.4224
0.0000 -1.5231 8.4224
Mn Re Ir
2 1 1
direct
0.2503 0.2503 0.2503 Mn
0.7497 0.7497 0.7497 Mn
0.5000 0.5000 0.5000 Re
0.0000 0.0000 0.0000 Ir
```

Number 1: spin magnetization 2.6 Bohr magnetons per cell, formation energy from the elements -238 meV/atom. Number 2: spin magnetization 1.0 Bohr magnetons per cell, formation energy from the elements -292 meV/atom. Number 3: spin magnetization 5.7 Bohr magnetons per cell, formation energy from the elements -60 meV/atom.